No. 1
Here is crystalline Ac3Ga2Si3 at its relaxed geometry from Alexandria. Energies are from PBE.

excess energy over the best structure of this formula in the dataset: 0 meV/atom
volume: 832.8 Å³ per cell
formation energy without anion corrections: -0.552 eV/atom

Cell lengths 4.346, 11.796, 16.246 Å; angles 90.00, 90.00, 90.00 degrees
Space group Cmcm (No. 63)
One atom of each set of equivalent atoms:
Ac  0.000  0.039  0.250
Ac  0.000  0.345  0.090
Ga  0.000  0.362  0.617
Si  0.000  0.061  0.057
Si  0.000  0.240  0.750

=====

No. 2
Here is crystalline CaIrO3 at its relaxed geometry from Alexandria. Energies are from PBE.

volume: 73.1 Å³ per cell
formation energy without anion corrections: 0.456 eV/atom

Cell lengths 4.181, 4.181, 4.181 Å; angles 90.00, 90.00, 90.00 degrees
Space group Pm-3m (No. 221)
One atom of each set of equivalent atoms:
Ca  0.000  0.000  0.000
Ir  0.500  0.500  0.500
O  0.000  0.000  0.500